Entry 1:
# SCAN BeMoAu, PBEsol geometry
# total DFT energy (no corrections) = -35.91 eV/atom
data_BeMoAu
_cell_length_a 2.7433
_cell_length_b 2.7433
_cell_length_c 6.4162
_cell_angle_alpha 90.00
_cell_angle_beta 90.00
_cell_angle_gamma 120.00
_space_group_name_H-M_alt 'P 3 m 1'
_space_group_IT_number 156
_space_group_name_Hall 'P 3 -2"'
loop_
_atom_site_label
_atom_site_fract_x
_atom_site_fract_y
_atom_site_fract_z
Be1 0.0000 0.0000 0.0000
Mo1 0.3333 0.6667 0.6851
Au1 0.6667 0.3333 0.3053

Entry 2:
# SCAN MnSb2As, PBEsol geometry
# formation energy from raw total energies = 0.01 eV per atom
data_MnSb2As
_cell_length_a 3.9116
_cell_length_b 3.9116
_cell_length_c 19.9750
_cell_angle_alpha 90.00
_cell_angle_beta 90.00
_cell_angle_gamma 120.00
_space_group_name_H-M_alt 'R -3 m'
_space_group_IT_number 166
_space_group_name_Hall '-R 3 2"'
loop_
_atom_site_label
_atom_site_fract_x
_atom_site_fract_y
_atom_site_fract_z
Mn1 0.0000 0.0000 0.0000
Sb1 0.0000 0.0000 0.2556
As1 0.0000 0.0000 0.5000

Entry 3:
# SCAN Ga2AgOsPd, PBEsol geometry
# total DFT energy (no corrections) = -33.11 eV/atom
data_Ga2AgOsPd
_cell_length_a 4.669
_cell_length_b 4.669
_cell_length_c 4.874
_cell_angle_alpha 90.00
_cell_angle_beta 90.00
_cell_angle_gamma 90.00
_space_group_name_H-M_alt 'P 4/m m m'
_space_group_IT_number 123
_space_group_name_Hall '-P 4 2'
loop_
_atom_site_label
_atom_site_fract_x
_atom_site_fract_y
_atom_site_fract_z
Ga1 0.000 0.500 0.000
Ag1 0.000 0.000 0.500
Os1 0.500 0.500 0.000
Pd1 0.500 0.500 0.500

Entry 4:
# SCAN SrAgC2, PBEsol geometry
# total DFT energy (no corrections) = -16.67 eV/atom
data_SrAgC2
_cell_length_a 6.118
_cell_length_b 6.118
_cell_length_c 6.118
_cell_angle_alpha 90.00
_cell_angle_beta 90.00
_cell_angle_gamma 90.00
_space_group_name_H-M_alt 'F m -3 m'
_space_group_IT_number 225
_space_group_name_Hall '-F 4 2 3'
loop_
_atom_site_label
_atom_site_fract_x
_atom_site_fract_y
_atom_site_fract_z
Sr1 0.000 0.000 0.000
Ag1 0.000 0.000 0.500
C1 0.250 0.250 0.250

Entry 5:
# SCAN Ag2CO3, PBEsol geometry
# formation energy from raw total energies = -0.81 eV per atom
data_Ag2CO3
_cell_length_a 3.136
_cell_length_b 15.749
_cell_length_c 9.126
_cell_angle_alpha 90.00
_cell_angle_beta 90.00
_cell_angle_gamma 90.00
_space_group_name_H-M_alt 'P m c 21'
_space_group_IT_number 26
_space_group_name_Hall 'P 2c -2'
loop_
_atom_site_label
_atom_site_fract_x
_atom_site_fract_y
_atom_site_fract_z
Ag1 0.000 0.069 0.000
Ag2 0.000 0.252 0.465
Ag3 0.000 0.427 0.004
Ag4 0.500 0.077 0.649
Ag5 0.500 0.251 0.165
Ag6 0.500 0.420 0.651
C1 0.000 0.249 0.822
C2 0.500 0.084 0.322
C3 0.500 0.418 0.323
O1 0.000 0.203 0.704
O2 0.000 0.214 0.951
O3 0.000 0.332 0.812
O4 0.500 0.002 0.337
O5 0.500 0.116 0.192
O6 0.500 0.132 0.436
O7 0.500 0.368 0.436
O8 0.500 0.385 0.193
O9 0.500 0.499 0.339

Entry 6:
# SCAN MnFe2Hg, PBEsol geometry
# total DFT energy (no corrections) = -30.42 eV/atom
data_MnFe2Hg
_cell_length_a 5.338
_cell_length_b 7.562
_cell_length_c 2.756
_cell_angle_alpha 90.00
_cell_angle_beta 90.24
_cell_angle_gamma 90.00
_space_group_name_H-M_alt 'C 1 2/m 1'
_space_group_IT_number 12
_space_group_name_Hall '-C 2y'
loop_
_atom_site_label
_atom_site_fract_x
_atom_site_fract_y
_atom_site_fract_z
Mn1 0.000 0.000 0.000
Fe1 0.250 0.250 0.500
Hg1 0.000 0.500 0.000

Entry 7:
# SCAN Be4SbSe, PBEsol geometry
# formation energy from raw total energies = 0.61 eV per atom
data_Be4SbSe
_cell_length_a 6.850
_cell_length_b 6.850
_cell_length_c 6.850
_cell_angle_alpha 90.00
_cell_angle_beta 90.00
_cell_angle_gamma 90.00
_space_group_name_H-M_alt 'F -4 3 m'
_space_group_IT_number 216
_space_group_name_Hall 'F -4 2 3'
loop_
_atom_site_label
_atom_site_fract_x
_atom_site_fract_y
_atom_site_fract_z
Be1 0.124 0.124 0.124
Sb1 0.250 0.250 0.750
Se1 0.000 0.000 0.500

Entry 8:
# SCAN CoC3Br, PBEsol geometry
# formation energy from raw total energies = 2.41 eV per atom
data_CoC3Br
_cell_length_a 3.793
_cell_length_b 3.793
_cell_length_c 3.793
_cell_angle_alpha 90.00
_cell_angle_beta 90.00
_cell_angle_gamma 90.00
_space_group_name_H-M_alt 'P m -3 m'
_space_group_IT_number 221
_space_group_name_Hall '-P 4 2 3'
loop_
_atom_site_label
_atom_site_fract_x
_atom_site_fract_y
_atom_site_fract_z
Co1 0.000 0.000 0.000
C1 0.000 0.000 0.500
Br1 0.500 0.500 0.500

Entry 9:
# SCAN ZrPt2IBr, PBEsol geometry
# formation energy from raw total energies = 0.83 eV per atom
data_ZrPt2IBr
_cell_length_a 4.887
_cell_length_b 4.887
_cell_length_c 5.405
_cell_angle_alpha 90.00
_cell_angle_beta 90.00
_cell_angle_gamma 90.00
_space_group_name_H-M_alt 'P 4/m m m'
_space_group_IT_number 123
_space_group_name_Hall '-P 4 2'
loop_
_atom_site_label
_atom_site_fract_x
_atom_site_fract_y
_atom_site_fract_z
Zr1 0.000 0.000 0.000
Pt1 0.000 0.500 0.500
I1 0.000 0.000 0.500
Br1 0.500 0.500 0.000

Entry 10:
# SCAN NiRh2Br, PBEsol geometry
# formation energy from raw total energies = 0.68 eV per atom
data_NiRh2Br
_cell_length_a 2.812
_cell_length_b 4.588
_cell_length_c 8.765
_cell_angle_alpha 90.00
_cell_angle_beta 90.00
_cell_angle_gamma 90.00
_space_group_name_H-M_alt 'I m m m'
_space_group_IT_number 71
_space_group_name_Hall '-I 2 2'
loop_
_atom_site_label
_atom_site_fract_x
_atom_site_fract_y
_atom_site_fract_z
Ni1 0.000 0.000 0.000
Rh1 0.000 0.500 0.248
Br1 0.000 0.000 0.500

Entry 11:
# SCAN Hf2NbSi2, PBEsol geometry
# formation energy from raw total energies = -0.83 eV per atom
data_Hf2NbSi2
_cell_length_a 6.788
_cell_length_b 6.788
_cell_length_c 3.668
_cell_angle_alpha 90.00
_cell_angle_beta 90.00
_cell_angle_gamma 90.00
_space_group_name_H-M_alt 'P 4/m b m'
_space_group_IT_number 127
_space_group_name_Hall '-P 4 2ab'
loop_
_atom_site_label
_atom_site_fract_x
_atom_site_fract_y
_atom_site_fract_z
Hf1 0.175 0.325 0.000
Nb1 0.000 0.000 0.500
Si1 0.125 0.625 0.500

Entry 12:
# SCAN Ta2HN, PBEsol geometry
# total DFT energy (no corrections) = -36.06 eV/atom
data_Ta2HN
_cell_length_a 5.512
_cell_length_b 5.512
_cell_length_c 5.512
_cell_angle_alpha 90.00
_cell_angle_beta 90.00
_cell_angle_gamma 90.00
_space_group_name_H-M_alt 'F m -3 m'
_space_group_IT_number 225
_space_group_name_Hall '-F 4 2 3'
loop_
_atom_site_label
_atom_site_fract_x
_atom_site_fract_y
_atom_site_fract_z
Ta1 0.250 0.250 0.250
H1 0.000 0.000 0.000
N1 0.000 0.000 0.500

Entry 13:
# SCAN SmClO, PBEsol geometry
# formation energy from raw total energies = -3.41 eV per atom
data_SmClO
_cell_length_a 3.951
_cell_length_b 3.951
_cell_length_c 6.648
_cell_angle_alpha 90.00
_cell_angle_beta 90.00
_cell_angle_gamma 90.00
_space_group_name_H-M_alt 'P 4/n m m'
_space_group_IT_number 129
loop_
_space_group_symop_operation_xyz
'x,y,z'
'-x,-y,-z'
'-y+1/2,x,z'
'y+1/2,-x,-z'
'-x+1/2,-y+1/2,z'
'x+1/2,y+1/2,-z'
'y,-x+1/2,z'
'-y,x+1/2,-z'
'x+1/2,-y,-z'
'-x+1/2,y,z'
'-y,-x,-z'
'y,x,z'
'-x,y+1/2,-z'
'x,-y+1/2,z'
'y+1/2,x+1/2,-z'
'-y+1/2,-x+1/2,z'
loop_
_atom_site_label
_atom_site_fract_x
_atom_site_fract_y
_atom_site_fract_z
Sm1 0.250 0.250 0.174
Cl1 0.250 0.250 0.627
O1 0.250 0.750 0.000

Entry 14:
# SCAN KNbZn2Sn, PBEsol geometry
# total DFT energy (no corrections) = -19.66 eV/atom
data_KNbZn2Sn
_cell_length_a 5.056
_cell_length_b 5.056
_cell_length_c 6.049
_cell_angle_alpha 90.00
_cell_angle_beta 90.00
_cell_angle_gamma 90.00
_space_group_name_H-M_alt 'P 4/m m m'
_space_group_IT_number 123
_space_group_name_Hall '-P 4 2'
loop_
_atom_site_label
_atom_site_fract_x
_atom_site_fract_y
_atom_site_fract_z
K1 0.000 0.000 0.000
Nb1 0.500 0.500 0.000
Zn1 0.000 0.500 0.500
Sn1 0.000 0.000 0.500

Entry 15:
# SCAN LiReNi6, PBEsol geometry
# total DFT energy (no corrections) = -21.29 eV/atom
data_LiReNi6
_cell_length_a 7.039
_cell_length_b 9.946
_cell_length_c 9.968
_cell_angle_alpha 90.00
_cell_angle_beta 90.00
_cell_angle_gamma 90.00
_space_group_name_H-M_alt 'C m m m'
_space_group_IT_number 65
_space_group_name_Hall '-C 2 2'
loop_
_atom_site_label
_atom_site_fract_x
_atom_site_fract_y
_atom_site_fract_z
Li1 0.000 0.000 0.246
Li2 0.000 0.254 0.000
Re1 0.000 0.248 0.500
Re2 0.000 0.500 0.238
Ni1 0.000 0.000 0.000
Ni2 0.000 0.000 0.500
Ni3 0.000 0.250 0.252
Ni4 0.000 0.500 0.000
Ni5 0.000 0.500 0.500
Ni6 0.248 0.375 0.376
Ni7 0.250 0.125 0.125

Entry 16:
# SCAN KBiF6, PBEsol geometry
# formation energy from raw total energies = -2.21 eV per atom
data_KBiF6
_cell_length_a 5.397
_cell_length_b 5.397
_cell_length_c 9.772
_cell_angle_alpha 90.00
_cell_angle_beta 90.00
_cell_angle_gamma 90.00
_space_group_name_H-M_alt 'P 42/m c m'
_space_group_IT_number 132
_space_group_name_Hall '-P 4c 2c'
loop_
_atom_site_label
_atom_site_fract_x
_atom_site_fract_y
_atom_site_fract_z
K1 0.000 0.000 0.250
Bi1 0.500 0.500 0.000
F1 0.233 0.233 0.000
F2 0.310 0.310 0.355

Entry 17:
# SCAN Cu2Pt, PBEsol geometry
# total DFT energy (no corrections) = -33.66 eV/atom
data_Cu2Pt
_cell_length_a 7.831
_cell_length_b 4.510
_cell_length_c 4.312
_cell_angle_alpha 90.00
_cell_angle_beta 90.00
_cell_angle_gamma 90.00
_space_group_name_H-M_alt 'C m c m'
_space_group_IT_number 63
_space_group_name_Hall '-C 2c 2'
loop_
_atom_site_label
_atom_site_fract_x
_atom_site_fract_y
_atom_site_fract_z
Cu1 0.168 0.170 0.250
Pt1 0.000 0.324 0.750

Entry 18:
# SCAN Ta3Cr, PBEsol geometry
# total DFT energy (no corrections) = -54.26 eV/atom
data_Ta3Cr
_cell_length_a 4.069
_cell_length_b 4.069
_cell_length_c 4.069
_cell_angle_alpha 90.00
_cell_angle_beta 90.00
_cell_angle_gamma 90.00
_space_group_name_H-M_alt 'P m -3 m'
_space_group_IT_number 221
_space_group_name_Hall '-P 4 2 3'
loop_
_atom_site_label
_atom_site_fract_x
_atom_site_fract_y
_atom_site_fract_z
Ta1 0.000 0.000 0.500
Cr1 0.500 0.500 0.500

Entry 19:
# SCAN HfMnIr2, PBEsol geometry
# total DFT energy (no corrections) = -56.72 eV/atom
data_HfMnIr2
_cell_length_a 6.270
_cell_length_b 6.270
_cell_length_c 6.270
_cell_angle_alpha 90.00
_cell_angle_beta 90.00
_cell_angle_gamma 90.00
_space_group_name_H-M_alt 'F m -3 m'
_space_group_IT_number 225
_space_group_name_Hall '-F 4 2 3'
loop_
_atom_site_label
_atom_site_fract_x
_atom_site_fract_y
_atom_site_fract_z
Hf1 0.000 0.000 0.000
Mn1 0.000 0.000 0.500
Ir1 0.250 0.250 0.250

Entry 20:
# SCAN ZnAsCl, PBEsol geometry
# formation energy from raw total energies = -0.15 eV per atom
data_ZnAsCl
_cell_length_a 3.637
_cell_length_b 3.637
_cell_length_c 10.187
_cell_angle_alpha 90.00
_cell_angle_beta 90.00
_cell_angle_gamma 90.00
_space_group_name_H-M_alt 'I 4 m m'
_space_group_IT_number 107
_space_group_name_Hall 'I 4 -2'
loop_
_atom_site_label
_atom_site_fract_x
_atom_site_fract_y
_atom_site_fract_z
Zn1 0.000 0.000 0.000
As1 0.000 0.000 0.522
Cl1 0.000 0.000 0.750

Entry 21:
# SCAN Sc2CdRh, PBEsol geometry
# total DFT energy (no corrections) = -23.40 eV/atom
data_Sc2CdRh
_cell_length_a 3.1487
_cell_length_b 3.1487
_cell_length_c 27.6116
_cell_angle_alpha 90.00
_cell_angle_beta 90.00
_cell_angle_gamma 120.00
_space_group_name_H-M_alt 'R 3 m'
_space_group_IT_number 160
_space_group_name_Hall 'R 3 -2"'
loop_
_atom_site_label
_atom_site_fract_x
_atom_site_fract_y
_atom_site_fract_z
Sc1 0.0000 0.0000 0.0000
Sc2 0.0000 0.0000 0.2339
Cd1 0.0000 0.0000 0.7568
Rh1 0.0000 0.0000 0.5012

Entry 22:
# SCAN V3Ga, PBEsol geometry
# total DFT energy (no corrections) = -17.46 eV/atom
data_V3Ga
_cell_length_a 4.717
_cell_length_b 4.717
_cell_length_c 4.717
_cell_angle_alpha 90.00
_cell_angle_beta 90.00
_cell_angle_gamma 90.00
_space_group_name_H-M_alt 'P m -3 n'
_space_group_IT_number 223
_space_group_name_Hall '-P 4n 2 3'
loop_
_atom_site_label
_atom_site_fract_x
_atom_site_fract_y
_atom_site_fract_z
V1 0.000 0.250 0.500
Ga1 0.000 0.000 0.000

Entry 23:
# SCAN La2In2Sn, PBEsol geometry
# total DFT energy (no corrections) = -38.49 eV/atom
data_La2In2Sn
_cell_length_a 7.736
_cell_length_b 7.736
_cell_length_c 4.821
_cell_angle_alpha 90.00
_cell_angle_beta 90.00
_cell_angle_gamma 90.00
_space_group_name_H-M_alt 'P 4/m b m'
_space_group_IT_number 127
_space_group_name_Hall '-P 4 2ab'
loop_
_atom_site_label
_atom_site_fract_x
_atom_site_fract_y
_atom_site_fract_z
La1 0.171 0.329 0.000
In1 0.130 0.630 0.500
Sn1 0.000 0.000 0.500